Compound: Pr3MgN
Source: Alexandria
Functional: PBE-GGA
Structure: relaxed

Space-group type: Pm-3m
Uncorrected energy: -5.4124 eV per atom
ΔE_f (raw): -0.56 eV/atom

a = 5.1285 Å, b = 5.1285 Å, c = 5.1285 Å
α = 90.00°, β = 90.00°, γ = 90.00°
Fractional coordinates of all 5 atoms:
Pr  0.0000  0.5000  0.0000
Pr  0.0000  0.0000  0.5000
Pr  0.5000  0.0000  0.0000
Mg  0.5000  0.5000  0.5000
N  0.0000  0.0000  0.0000